A relaxed CaDy2NpP4 crystal. Source: Alexandria via LeMat-Bulk, functional PBE.

The structure in POSCAR format:
```
CaDy2NpP4
1.0
6.9394 0.0000 0.0000
0.0000 4.0134 0.0000
-2.2599 0.0000 6.5619
Ca Dy Np P
1 2 1 4
Cartesian
0.0000 0.0000 0.0000
2.3397 0.0000 3.2810
3.4697 2.0067 0.0000
-1.1300 2.0067 3.2810
0.0397 0.0000 4.8662
1.1361 2.0067 1.7270
3.5433 2.0067 4.8349
4.6398 0.0000 1.6958
```

Results
The symmetry is No. 10. The spin magnetization is 0.37 μB/atom. Its total energy is -6.991 eV per atom. The calculated formation energy is -1268 meV/atom. Its density of states at the Fermi level is 9.48 states/eV/f.u.